(1)
This record from Alexandria via LeMat-Bulk describes a relaxed HfZr3V crystal. The functional is PBE.

- Fermi-level density of states: 5.7 states/eV/cell
- DFT formation energy: 0.63 eV per atom
- Energy above the most stable polymorph in this dataset: 0 meV/atom

a = 4.9005 Å, b = 4.9005 Å, c = 4.9005 Å
α = 90.00°, β = 90.00°, γ = 90.00°
Atoms (fractional coordinates):
Zr: 0.0000 0.5000 0.0000
Hf: 0.5000 0.5000 0.5000
Zr: 0.0000 0.0000 0.5000
V: 0.0000 0.0000 0.0000
Zr: 0.5000 0.0000 0.0000

***

(2)
This record from Alexandria via LeMat-Bulk describes a relaxed NdSmCoCl crystal. The functional is PBE.

- Fermi-level density of states: 1.2 states/eV/cell
- E_form (uncorrected): -812 meV/atom

a = 3.9085 Å, b = 3.9085 Å, c = 7.9545 Å
α = 90.01°, β = 104.21°, γ = 120.00°
Atoms (fractional coordinates):
Nd: 0.5053 0.1505 0.6711
Sm: 0.1035 0.9497 0.0686
Cl: 0.9635 0.3799 0.3582
Co: 0.3057 0.5507 0.8717

***

(3)
This record from Alexandria via LeMat-Bulk describes a relaxed LiMn3Pd crystal. The functional is PBE.

- Fermi-level density of states: 3.0 states/eV/cell
- DFT formation energy: 0.76 eV per atom
- Energy above the most stable polymorph in this dataset: 0 meV/atom

a = 4.9031 Å, b = 4.9031 Å, c = 4.9031 Å
α = 90.00°, β = 90.00°, γ = 90.00°
Site moments in Bohr magnetons follow the coordinates.
Atoms (fractional coordinates):
Pd: 0.0000 0.0000 0.0000  0.36
Mn: 0.5000 0.0000 0.0000  4.08
Li: 0.5000 0.5000 0.5000  -0.03
Mn: 0.0000 0.0000 0.5000  4.14
Mn: 0.0000 0.5000 0.0000  4.13

***

(4)
This record from Alexandria via LeMat-Bulk describes a relaxed PmEuCo crystal. The functional is PBE.

- Fermi-level density of states: 8.7 states/eV/cell
- DFT formation energy: 0.09 eV per atom
- Energy above the most stable polymorph in this dataset: 29 meV/atom

a = 6.4269 Å, b = 3.9568 Å, c = 3.9568 Å
α = 120.00°, β = 90.00°, γ = 90.00°
Site moments in Bohr magnetons follow the coordinates.
Atoms (fractional coordinates):
Co: 0.3216 0.6667 0.3333  -0.24
Pm: 0.0996 0.0000 0.0000  0.05
Eu: 0.5787 0.3333 0.6667  6.85

***

- What is the Fermi-level density of states in the first record?
  5.7 states/eV/cell

***

- Among the records above, which one has the lowest Fermi-level density of states?
  NdSmCoCl

***

- Which value of Fermi-level density of states does entry 2 give?
  1.2 states/eV/cell